Density functional theory data (GGA-PBEsol) for a geometry-optimized GePPdC2 structure.

POSCAR file:
```
GePPdC2
1.0
3.454 0.000 0.000
0.000 3.454 0.000
0.000 0.000 5.910
Ge C Pd P
1 2 1 1
direct
0.000 0.000 0.500
0.000 0.500 0.000
0.500 0.000 0.000
0.500 0.500 0.500
0.000 0.000 0.000
```

Values from the calculation:
Space-group type: P4/mmm


Density functional theory data (GGA-PBEsol) for a geometry-optimized GeP2RuC structure.

POSCAR file:
```
GeP2RuC
1.0
4.414 0.000 0.000
0.000 4.414 0.000
0.000 0.000 4.777
Ru P Ge C
1 2 1 1
direct
0.000 0.000 0.000
0.000 0.500 0.000
0.500 0.000 0.000
0.000 0.000 0.500
0.500 0.500 0.500
```

Values from the calculation:
Space-group type: P4/mmm


Density functional theory data (GGA-PBEsol) for a geometry-optimized GePCS2 structure.

POSCAR file:
```
GePCS2
1.0
-2.178 -3.366 -0.216
2.335 -1.704 2.988
-2.596 1.495 2.882
Ge C P S
1 1 1 2
direct
0.500 0.500 0.500
0.000 0.000 0.000
0.500 0.000 0.000
0.000 0.500 0.000
0.000 0.000 0.500
```

Values from the calculation:
Space-group type: P4/mmm
Formation energy (no corrections) (eV per atom): 0.97


How do the records compare in electronic total energy? In the order shown, they have -5.73 -5.61 -4.85 eV per atom.
How do the records compare in magnetization? In the order shown, they have 0.00 0.82 0.00 μB/f.u..